Material: UHgPdO6
Method: DFT, PBE
State: optimized geometry

Cell: 5.4170 5.4170 10.1185 Å, 90.00 90.00 120.00°
Element x y z (fractional)
U1 0.3333 0.6667 0.2500
U2 0.6667 0.3333 0.7500
Hg1 0.0000 0.0000 0.0000
Hg2 0.0000 0.0000 0.5000
Pd1 0.3333 0.6667 0.7500
Pd2 0.6667 0.3333 0.2500
O1 0.0071 0.3605 0.6399
O2 0.0071 0.6466 0.8601
O3 0.3534 0.3605 0.8601
O4 0.3534 0.9929 0.6399
O5 0.3605 0.0071 0.1399
O6 0.3605 0.3534 0.3601
O7 0.6395 0.6466 0.6399
O8 0.6395 0.9929 0.8601
O9 0.6466 0.0071 0.3601
O10 0.6466 0.6395 0.1399
O11 0.9929 0.3534 0.1399
O12 0.9929 0.6395 0.3601

E_form (uncorrected) = -1.482 eV per atom